(1)
Be2CrCu | PBE | optimized geometry

energy of formation from the pure elements	0.04	eV per atom
VASP energy	-5.249	eV per atom

CIF file:
```
data_Be2CrCu
_symmetry_space_group_name_H-M 'P 4 m m'
_symmetry_Int_Tables_number 99
_cell_length_a 2.5008
_cell_length_b 2.5008
_cell_length_c 6.2335
_cell_angle_alpha 90.00
_cell_angle_beta 90.00
_cell_angle_gamma 90.00
loop_
_symmetry_equiv_pos_as_xyz
'x,y,z'
'-y,x,z'
'-x,-y,z'
'y,-x,z'
'-x,y,z'
'y,x,z'
'x,-y,z'
'-y,-x,z'
loop_
_atom_site_label
_atom_site_type_symbol
_atom_site_fract_x
_atom_site_fract_y
_atom_site_fract_z
_atom_site_occupancy
Be1 Be 0.0000 0.0000 0.0000 1
Be2 Be 0.5000 0.5000 0.1997 1
Cr1 Cr 0.0000 0.0000 0.4552 1
Cu1 Cu 0.5000 0.5000 0.7659 1
```

(2)
NdYBiI | PBE | optimized geometry

VASP energy	-4.945	eV per atom
formation energy (no corrections)	-3.12	eV/f.u.

CIF file:
```
data_NdYBiI
_symmetry_space_group_name_H-M 'F -4 3 m'
_symmetry_Int_Tables_number 216
_symmetry_space_group_name_Hall 'F -4 2 3'
_cell_length_a 7.8272
_cell_length_b 7.8272
_cell_length_c 7.8272
_cell_angle_alpha 90.00
_cell_angle_beta 90.00
_cell_angle_gamma 90.00
loop_
_atom_site_label
_atom_site_type_symbol
_atom_site_fract_x
_atom_site_fract_y
_atom_site_fract_z
_atom_site_occupancy
Nd1 Nd 0.0000 0.0000 0.0000 1
Y1 Y 0.0000 0.0000 0.5000 1
Bi1 Bi 0.2500 0.2500 0.7500 1
I1 I 0.2500 0.2500 0.2500 1
```